[1]
Density functional theory data (GGA-PBEsol) for a relaxed Cr2SiAs crystal.

The energy relative to the lowest polymorph listed for this composition comes out at 0 meV per atom. The total magnetization comes out at 1.8 μB per formula unit. Its space group is P4/mmm, No. 123. As for the uncorrected formation energy: 2.4 kJ/mol of formula units. The volume comes out at 12.27 Å³/atom. The value obtained for the calculated density is 7.00 g/cm3.

Cell: 4.110 4.110 2.906 Å, 90.00 90.00 90.00°
Positions (direct):
Cr 0.000 0.500 0.000
Cr 0.500 0.000 0.000
Si 0.000 0.000 0.500
As 0.500 0.500 0.500

=====

[2]
Density functional theory data (GGA-PBEsol) for a relaxed CrSi2As crystal.

The total magnetization comes out at 0.2 μB per formula unit. Its space group is R-3m, No. 166. As for the uncorrected formation energy: 68.4 kJ/mol of formula units. The volume comes out at 14.10 Å³/atom. The value obtained for the calculated density is 5.39 g/cm3.

Cell: 7.785 7.785 7.785 Å, 21.68 21.68 21.68°
Positions (direct):
Cr 0.000 0.000 0.000
Si 0.260 0.260 0.260
Si 0.740 0.740 0.740
As 0.500 0.500 0.500

=====

[3]
Density functional theory data (GGA-PBEsol) for a relaxed CrSi2TeAs crystal.

The total magnetization comes out at 4.6 μB per formula unit. Its space group is P4/mmm, No. 123. As for the uncorrected formation energy: 767.3 kJ/mol of formula units. The volume comes out at 27.26 Å³/atom. The value obtained for the calculated density is 3.79 g/cm3.

Cell: 5.117 5.117 5.205 Å, 90.00 90.00 90.00°
Positions (direct):
Cr 0.000 0.000 0.000
Si 0.000 0.500 0.500
Si 0.500 0.000 0.500
Te 0.500 0.500 0.500
As 0.500 0.500 0.000

=====

[4]
Density functional theory data (GGA-PBEsol) for a relaxed Cr3SnAs crystal.

The total magnetization comes out at 11.2 μB per formula unit. Its space group is Pm-3m, No. 221. The calculation puts the uncorrected energy at -32.6 eV/cell. The volume comes out at 24.04 Å³/atom. The value obtained for the calculated density is 4.83 g/cm3.

Cell: 4.935 4.935 4.935 Å, 90.00 90.00 90.00°
Positions (direct):
Cr 0.000 0.000 0.500
Cr 0.000 0.500 0.000
Cr 0.500 0.000 0.000
Sn 0.000 0.000 0.000
As 0.500 0.500 0.500

=====

[5]
Density functional theory data (GGA-PBEsol) for a relaxed SrCrAs3 crystal.

The total magnetization comes out at 1.4 μB per formula unit. Its space group is Pm-3m, No. 221. The calculation puts the uncorrected energy at -28.6 eV/cell. The volume comes out at 21.44 Å³/atom. The value obtained for the calculated density is 5.64 g/cm3.

Cell: 4.750 4.750 4.750 Å, 90.00 90.00 90.00°
Positions (direct):
Sr 0.000 0.000 0.000
Cr 0.500 0.500 0.500
As 0.000 0.500 0.500
As 0.500 0.000 0.500
As 0.500 0.500 0.000

=====

[6]
Density functional theory data (GGA-PBEsol) for a relaxed Sr2CrAs crystal.

The total magnetization comes out at 4.9 μB per formula unit. Its space group is Amm2, No. 38. The calculation puts the uncorrected energy at -19.9 eV/cell. The volume comes out at 29.13 Å³/atom. The value obtained for the calculated density is 4.31 g/cm3.

Cell: 4.417 6.273 6.273 Å, 42.09 90.00 90.00°
Positions (direct):
Sr 0.000 0.000 0.000
Sr 0.500 0.285 0.285
Cr 0.500 0.588 0.588
As 0.000 0.710 0.710